16
Lattice="-7.976 2.776 -2.607 -3.576 -7.742 2.699 4.724 4.845 5.685" Properties=species:S:1:pos:R:3 comment="Ca4Tb3PuTe8 (PBE-GGA, relaxed)" e_form_raw_ev_per_atom=-1.43 total_energy_ev_per_atom=-5.270 dos_ef_per_ev_fu=18.12 density_g_cm3=6.4 pbc="T T T"
Te -4.524 2.540 1.562
Te 0.036 -0.262 7.031
Te -3.914 1.113 5.740
Pu -1.788 -3.871 1.350
Te -6.289 -1.287 2.888
Tb -3.414 -0.061 2.889
Ca 0.000 0.000 0.000
Ca -3.988 1.388 -1.303
Te -2.913 -1.234 0.037
Ca -1.626 3.810 1.539
Te -0.539 1.166 2.889
Tb 0.574 -1.448 4.192
Te -6.863 0.141 -1.254
Te -2.304 -2.661 4.215
Ca 2.362 2.422 2.843
Tb -5.776 -2.483 0.046

80
Lattice="9.600 0.000 0.000 -3.200 9.051 0.000 -3.200 -4.525 7.838" Properties=species:S:1:pos:R:3 comment="Li5Hf3H12 (PBE-GGA, relaxed)" total_energy_ev_per_atom=-4.322 dos_ef_per_ev_fu=2.43 density_g_cm3=5.7 pbc="T T T"
Li 3.200 -2.263 3.919
H -1.160 -0.446 3.524
H 5.719 -3.105 6.757
H 4.119 1.420 1.081
H 4.834 8.030 0.395
Hf 4.000 0.566 2.939
H 4.119 7.014 2.149
Li 4.000 -2.828 6.858
H 0.920 0.616 4.608
Li 2.400 6.788 1.960
H 3.880 -0.616 4.608
H -2.760 4.079 4.314
H 1.566 5.936 3.233
Li -1.600 4.525 0.000
Hf 5.600 2.828 0.980
H 7.080 2.036 2.149
H 1.634 -1.410 4.605
H -0.920 3.105 6.757
H -0.680 5.142 3.230
Li 0.800 2.828 6.858
Hf 2.400 5.091 4.899
H -1.634 2.095 5.000
Li 4.000 3.960 2.939
Li 4.800 0.000 0.000
H 6.365 1.020 0.395
H -2.040 5.091 6.068
H -3.474 0.002 6.463
H 1.325 -1.192 7.152
Li 2.400 1.697 0.980
H 3.474 -1.190 7.149
H 5.240 -0.566 1.770
H 5.960 0.446 3.524
H 3.640 3.959 6.068
H 4.834 2.431 2.838
H 2.760 -1.012 2.544
Hf -4.000 4.525 5.879
Hf 0.800 4.525 1.960
H 6.434 -2.095 5.000
Hf -2.400 -1.697 6.858
Li 3.200 4.525 0.000
H 2.040 1.012 2.544
H 1.874 3.335 0.689
H 1.325 1.190 7.149
Li 0.000 0.000 0.000
H 4.360 4.972 4.314
Hf -0.800 3.960 4.899
Li -1.600 -2.263 3.919
Li -0.800 0.566 4.899
H -3.166 3.505 7.443
Hf 0.800 -0.566 2.939
Li -0.800 2.263 1.960
H 0.034 3.115 3.233
Li 4.000 2.263 5.879
Li 0.800 -2.263 5.879
Li 1.600 2.263 3.919
H 2.280 3.909 3.230
H 1.874 5.717 0.686
Li -2.400 5.091 2.939
H -0.440 0.566 1.770
Li -3.200 2.263 3.919
H -1.634 -3.505 7.443
H -2.519 7.631 1.081
H -1.325 -0.002 6.463
H -0.920 -2.489 5.689
H 1.160 3.513 5.294
H -0.275 3.333 0.686
Hf 7.200 0.000 1.960
H 3.166 1.410 4.605
H 3.474 1.192 7.152
Hf 5.600 6.222 0.980
Li -0.800 7.354 0.980
H 4.525 4.527 1.375
Li 5.600 -0.566 4.899
Hf -2.400 1.697 6.858
H 0.440 5.538 5.294
H -0.275 5.716 0.689
H -3.234 6.620 2.838
H -3.880 2.489 5.689
H 6.674 4.524 1.375
Hf 2.400 0.000 5.879

8
Lattice="3.544 0.000 0.000 0.000 6.147 0.110 0.000 -2.147 5.744" Properties=species:S:1:pos:R:3 comment="Ce2PmErN4 (PBE-GGA, relaxed)" e_form_raw_ev_per_atom=-1.55 total_energy_ev_per_atom=-8.356 dos_ef_per_ev_fu=4.50 density_g_cm3=8.5 pbc="T T T"
N 1.772 2.952 4.355
Pm 0.000 0.000 0.000
N 1.772 1.048 1.499
Ce 1.772 -1.073 2.872
N 0.000 4.029 1.518
Ce 0.000 2.000 2.927
N 0.000 -0.028 4.336
Er 1.772 3.073 0.055